--- one ---
Entry from Alexandria: Tl2Hg5Bi after structural relaxation (GGA-PBE).

Summary:
ρ: 11.58 g/cm³

Cell: 8.606 8.605 6.577 Å, 56.37 56.58 101.56°
Fractional positions:
Hg 0.411 0.520 0.070
Hg 0.162 0.773 0.065
Hg 0.274 0.144 0.070
Tl 0.270 0.660 0.568
Hg 0.647 0.286 0.067
Tl 0.781 0.153 0.567
Bi 0.893 0.035 0.071
Hg 0.784 0.653 0.075



--- two ---
Entry from Alexandria: Tl2Hg5Bi after structural relaxation (GGA-PBE).

Summary:
ρ: 9.35 g/cm³

Cell: 5.731 7.087 7.087 Å, 90.00 90.00 90.00°
Fractional positions:
Tl 0.500 0.500 0.000
Tl 0.500 0.000 0.500
Bi 0.000 0.000 0.000
Hg 0.000 0.703 0.297
Hg 0.000 0.297 0.703
Hg 0.000 0.703 0.703
Hg 0.500 0.000 0.000
Hg 0.000 0.297 0.297



The energy of each structure relative to the most stable one, in eV/atom, is as follows: one 0.000; two 0.128.



--- one ---
Entry from Alexandria: TlHg3Bi after structural relaxation (GGA-PBE).

Summary:
ρ: 10.05 g/cm³

Cell: 4.765 6.375 6.375 Å, 120.00 90.00 90.00°
Fractional positions:
Bi 0.000 0.333 0.667
Hg 0.500 0.154 0.846
Hg 0.500 0.693 0.846
Hg 0.500 0.154 0.307
Tl 0.000 0.667 0.333



--- two ---
Entry from Alexandria: TlHg3Bi after structural relaxation (GGA-PBE).

Summary:
ρ: 8.17 g/cm³

Cell: 5.909 5.909 5.909 Å, 90.00 90.00 90.00°
Fractional positions:
Tl 0.500 0.500 0.500
Hg 0.000 0.500 0.000
Bi 0.000 0.000 0.000
Hg 0.500 0.000 0.000
Hg 0.000 0.000 0.500



The energy of each structure relative to the most stable one, in eV/atom, is as follows: one 0.000; two 0.147.



--- one ---
Entry from Alexandria: Tl5Hg2Bi2 after structural relaxation (GGA-PBE).

Summary:
ρ: 10.34 g/cm³

Cell: 6.958 9.098 10.388 Å, 115.97 90.00 90.00°
Fractional positions:
Tl 0.242 0.108 0.707
Hg 0.539 0.844 0.000
Hg 0.961 0.344 0.000
Tl 0.258 0.608 0.707
Tl 0.500 0.500 0.000
Tl 0.000 0.000 0.000
Tl 0.758 0.599 0.707
Tl 0.742 0.099 0.707
Bi 0.000 0.750 0.501
Tl 0.242 0.401 0.293
Bi 0.500 0.750 0.499
Tl 0.258 0.901 0.293
Hg 0.461 0.156 0.000
Tl 0.758 0.892 0.293
Hg 0.039 0.656 0.000
Bi 0.000 0.250 0.499
Bi 0.500 0.250 0.501
Tl 0.742 0.392 0.293



--- two ---
Entry from Alexandria: Tl5Hg2Bi2 after structural relaxation (GGA-PBE).

Summary:
ρ: 10.85 g/cm³

Cell: 6.759 11.270 9.380 Å, 127.31 85.39 97.37°
Fractional positions:
Tl 0.320 0.850 0.489
Hg 0.618 0.614 0.098
Tl 0.768 0.176 0.919
Bi 0.483 0.137 0.205
Bi 0.005 0.531 0.221
Tl 0.002 0.656 0.662
Hg 0.153 0.105 0.467
Bi 0.512 0.807 0.775
Tl 0.665 0.131 0.535
Hg 0.132 0.018 0.914
Tl 0.987 0.286 0.328
Tl 0.486 0.462 0.676
Tl 0.498 0.489 0.331
Tl 0.265 0.772 0.078
Hg 0.824 0.853 0.505
Tl 0.815 0.888 0.096
Tl 0.312 0.287 0.893
Bi 0.981 0.441 0.809



The energy of each structure relative to the most stable one, in eV/atom, is as follows: one 0.010; two 0.000.



--- one ---
Entry from Alexandria: Tl5HgBi2 after structural relaxation (GGA-PBE).

Summary:
ρ: 10.81 g/cm³

Cell: 5.558 9.947 9.654 Å, 99.22 106.73 90.00°
Fractional positions:
Bi 0.631 0.875 0.759
Bi 0.872 0.625 0.241
Tl 0.558 0.184 0.617
Tl 0.680 0.561 0.863
Hg 0.500 0.500 0.500
Tl 0.320 0.439 0.137
Hg 0.000 0.000 0.500
Bi 0.369 0.125 0.241
Bi 0.128 0.375 0.759
Tl 0.941 0.316 0.383
Tl 0.817 0.939 0.137
Tl 0.059 0.684 0.617
Tl 0.183 0.061 0.863
Tl 0.442 0.816 0.383
Tl 0.752 0.250 0.000
Tl 0.248 0.750 0.000



--- two ---
Entry from Alexandria: Tl5HgBi2 after structural relaxation (GGA-PBE).

Summary:
ρ: 11.06 g/cm³

Cell: 4.786 7.171 14.357 Å, 90.00 90.00 90.00°
Fractional positions:
Tl 0.000 0.500 0.500
Tl 0.000 0.997 0.750
Tl 0.000 0.000 0.000
Hg 0.000 0.000 0.500
Bi 0.500 0.740 0.880
Tl 0.000 0.497 0.750
Hg 0.000 0.500 0.000
Bi 0.500 0.260 0.120
Tl 0.500 0.746 0.124
Tl 0.000 0.003 0.250
Tl 0.500 0.754 0.624
Tl 0.000 0.503 0.250
Bi 0.500 0.760 0.380
Tl 0.500 0.254 0.876
Tl 0.500 0.246 0.376
Bi 0.500 0.240 0.620



The energy of each structure relative to the most stable one, in eV/atom, is as follows: one 0.000; two 0.037.



--- one ---
Entry from Alexandria: Tl2HgBi after structural relaxation (GGA-PBE).

Summary:
ρ: 10.25 g/cm³

Cell: 7.474 7.474 7.474 Å, 49.44 145.44 145.77°
Fractional positions:
Tl 0.000 0.265 0.265
Hg 0.000 0.000 0.000
Bi 0.000 0.500 0.500
Tl 0.000 0.735 0.735



--- two ---
Entry from Alexandria: Tl2HgBi after structural relaxation (GGA-PBE).

Summary:
ρ: 10.78 g/cm³

Cell: 3.541 3.541 10.055 Å, 90.00 90.00 90.00°
Fractional positions:
Tl 0.000 0.000 0.254
Hg 0.500 0.500 0.000
Bi 0.500 0.500 0.500
Tl 0.000 0.000 0.746



The energy of each structure relative to the most stable one, in eV/atom, is as follows: one 0.135; two 0.000.



--- one ---
Entry from Alexandria: Tl2HgBi after structural relaxation (GGA-PBE).

Summary:
ρ: 11.07 g/cm³

Cell: 3.707 5.755 5.755 Å, 90.00 90.00 90.00°
Fractional positions:
Tl 0.000 0.500 0.000
Tl 0.000 0.000 0.500
Bi 0.500 0.000 0.000
Hg 0.500 0.500 0.500



--- two ---
Entry from Alexandria: Tl2HgBi after structural relaxation (GGA-PBE).

Summary:
ρ: 10.61 g/cm³

Cell: 8.946 8.946 7.090 Å, 50.88 50.88 90.00°
Fractional positions:
Tl 0.375 0.374 0.750
Tl 0.875 0.876 0.750
Hg 0.500 0.500 0.000
Bi 0.750 0.250 0.500
Hg 0.250 0.750 0.500
Tl 0.124 0.625 0.250
Bi 0.000 0.000 0.000
Tl 0.626 0.125 0.250



--- three ---
Entry from Alexandria: Tl2HgBi after structural relaxation (GGA-PBE).

Summary:
ρ: 9.96 g/cm³

Cell: 4.567 4.567 8.003 Å, 73.42 73.42 60.00°
Fractional positions:
Bi 0.499 0.499 0.503
Hg 0.669 0.669 0.993
Tl 0.083 0.083 0.751
Tl 0.249 0.249 0.253



--- four ---
Entry from Alexandria: Tl2HgBi after structural relaxation (GGA-PBE).

Summary:
ρ: 11.07 g/cm³

Cell: 5.579 5.579 5.579 Å, 60.00 60.00 60.00°
Fractional positions:
Bi 0.500 0.500 0.500
Hg 0.000 0.000 0.000
Tl 0.250 0.250 0.250
Tl 0.750 0.750 0.750



The energy of each structure relative to the most stable one, in eV/atom, is as follows: one 0.058; two 0.111; three 0.102; four 0.000.



--- one ---
Entry from Alexandria: Tl7HgBi2 after structural relaxation (GGA-PBE).

Summary:
ρ: 10.47 g/cm³

Cell: 9.450 10.124 9.087 Å, 69.43 58.67 62.18°
Fractional positions:
Bi 0.310 0.113 0.274
Tl 0.263 0.911 0.918
Tl 0.050 0.952 0.667
Bi 0.303 0.613 0.774
Hg 0.987 0.750 0.250
Tl 0.569 0.811 0.470
Tl 0.909 0.411 0.418
Tl 0.950 0.048 0.333
Tl 0.737 0.089 0.082
Tl 0.397 0.750 0.250
Tl 0.603 0.250 0.750
Tl 0.431 0.189 0.530
Tl 0.150 0.311 0.970
Tl 0.669 0.548 0.833
Tl 0.091 0.589 0.582
Bi 0.697 0.387 0.226
Tl 0.331 0.452 0.167
Tl 0.850 0.689 0.030
Hg 0.013 0.250 0.750
Bi 0.690 0.887 0.726



--- two ---
Entry from Alexandria: Tl7HgBi2 after structural relaxation (GGA-PBE).

Summary:
ρ: 8.29 g/cm³

Cell: 5.358 9.363 9.363 Å, 119.11 90.00 90.00°
Fractional positions:
Tl 0.500 0.500 0.500
Tl 0.500 0.074 0.305
Hg 0.000 0.000 0.000
Bi 0.500 0.700 0.300
Tl 0.000 0.801 0.199
Tl 0.500 0.305 0.074
Tl 0.500 0.926 0.695
Tl 0.000 0.199 0.801
Tl 0.500 0.695 0.926
Bi 0.500 0.300 0.700



The energy of each structure relative to the most stable one, in eV/atom, is as follows: one 0.000; two 0.142.



--- one ---
Entry from Alexandria: Tl2Hg3Bi after structural relaxation (GGA-PBE).

Summary:
ρ: 11.04 g/cm³

Cell: 5.036 6.569 6.587 Å, 73.15 67.53 67.46°
Fractional positions:
Hg 0.835 0.620 0.710
Hg 0.161 0.795 0.883
Hg 0.847 0.207 0.099
Tl 0.550 0.194 0.706
Tl 0.447 0.797 0.309
Bi 0.160 0.387 0.294



--- two ---
Entry from Alexandria: Tl2Hg3Bi after structural relaxation (GGA-PBE).

Summary:
ρ: 11.37 g/cm³

Cell: 6.413 6.413 10.639 Å, 114.02 114.02 69.49°
Fractional positions:
Hg 0.672 0.672 0.837
Hg 0.165 0.165 0.837
Hg 0.836 0.836 0.671
Tl 0.250 0.750 0.500
Hg 0.164 0.164 0.329
Hg 0.835 0.835 0.163
Bi 0.665 0.665 0.331
Tl 0.750 0.250 0.500
Tl 0.755 0.245 0.000
Tl 0.245 0.755 0.000
Hg 0.328 0.328 0.163
Bi 0.335 0.335 0.669



The energy of each structure relative to the most stable one, in eV/atom, is as follows: one 0.000; two 0.012.



--- one ---
Entry from Alexandria: Tl8Hg2Bi3 after structural relaxation (GGA-PBE).

Summary:
ρ: 10.02 g/cm³

Cell: 9.352 10.689 9.333 Å, 124.93 132.04 90.00°
Fractional positions:
Tl 0.044 0.382 0.764
Tl 0.503 0.845 0.231
Bi 0.500 0.000 0.000
Hg 0.511 0.232 0.465
Tl 0.956 0.618 0.236
Tl 0.034 0.150 0.300
Tl 0.497 0.614 0.769
Bi 0.000 0.748 0.000
Hg 0.489 0.768 0.535
Bi 0.000 0.252 0.000
Tl 0.503 0.386 0.231
Tl 0.966 0.850 0.700
Tl 0.497 0.155 0.769



--- two ---
Entry from Alexandria: Tl8Hg2Bi3 after structural relaxation (GGA-PBE).

Summary:
ρ: 10.29 g/cm³

Cell: 5.990 9.869 9.869 Å, 55.26 66.88 66.88°
Fractional positions:
Tl 0.916 0.178 0.178
Tl 0.583 0.585 0.122
Bi 0.000 0.811 0.189
Tl 0.084 0.822 0.822
Tl 0.417 0.878 0.415
Tl 0.198 0.544 0.544
Tl 0.802 0.456 0.456
Tl 0.417 0.415 0.878
Bi 0.500 0.000 0.000
Tl 0.583 0.122 0.585
Hg 0.280 0.283 0.283
Bi 0.000 0.189 0.811
Hg 0.720 0.717 0.717



The energy of each structure relative to the most stable one, in eV/atom, is as follows: one 0.000; two 0.023.



--- one ---
Entry from Alexandria: Tl2Hg2Bi after structural relaxation (GGA-PBE).

Summary:
ρ: 11.05 g/cm³

Cell: 9.077 9.077 3.716 Å, 90.00 90.00 90.00°
Fractional positions:
Hg 0.631 0.869 0.500
Tl 0.828 0.672 0.000
Tl 0.172 0.328 0.000
Tl 0.328 0.828 0.000
Hg 0.869 0.369 0.500
Bi 0.000 0.000 0.000
Hg 0.369 0.131 0.500
Hg 0.131 0.631 0.500
Bi 0.500 0.500 0.000
Tl 0.672 0.172 0.000



--- two ---
Entry from Alexandria: Tl2Hg2Bi after structural relaxation (GGA-PBE).

Summary:
ρ: 11.34 g/cm³

Cell: 3.485 5.350 8.549 Å, 110.59 90.00 90.00°
Fractional positions:
Bi 0.000 0.000 0.000
Tl 0.500 0.612 0.214
Tl 0.500 0.388 0.786
Hg 0.000 0.798 0.595
Hg 0.000 0.202 0.405



--- three ---
Entry from Alexandria: Tl2Hg2Bi after structural relaxation (GGA-PBE).

Summary:
ρ: 11.28 g/cm³

Cell: 8.708 8.708 3.957 Å, 90.00 90.00 90.00°
Fractional positions:
Tl 0.330 0.170 0.500
Tl 0.830 0.330 0.500
Hg 0.369 0.869 0.000
Hg 0.631 0.131 0.000
Hg 0.131 0.369 0.000
Hg 0.869 0.631 0.000
Bi 0.000 0.000 0.000
Tl 0.670 0.830 0.500
Tl 0.170 0.670 0.500
Bi 0.500 0.500 0.000



The energy of each structure relative to the most stable one, in eV/atom, is as follows: one 0.079; two 0.000; three 0.039.